(1)
## TiNi (GGA-PBEsol)

Data for a relaxed TiNi crystal.

Cell: 7.0587 7.0587 7.0587 Å, 128.64 128.64 75.58°
Sites, in units of the cell vectors:
Ti: 0.0000 0.0000 0.0000
Ti: 0.0000 0.5000 0.5000
Ti: 0.2259 0.2259 0.0000
Ti: 0.2500 0.7500 0.5000
Ti: 0.5000 0.0000 0.5000
Ti: 0.5000 0.5000 0.0000
Ti: 0.7500 0.2500 0.5000
Ti: 0.7741 0.7741 0.0000
Ni: 0.1459 0.1459 0.5477
Ni: 0.1459 0.5982 0.0000
Ni: 0.4018 0.4018 0.5477
Ni: 0.4018 0.8541 0.0000
Ni: 0.5982 0.1459 0.0000
Ni: 0.5982 0.5982 0.4523
Ni: 0.8541 0.4018 0.0000
Ni: 0.8541 0.8541 0.4523

Summary:
For the energy relative to the elements, the calculation gives -367.1 meV per atom.



(2)
## Al2NiIr (GGA-PBEsol)

Data for a relaxed Al2NiIr crystal.

Cell: 5.6282 6.3259 2.8649 Å, 90.00 90.00 90.00°
Sites, in units of the cell vectors:
Al: 0.2500 0.2500 0.0000
Al: 0.2500 0.7500 0.0000
Al: 0.7500 0.2500 0.0000
Al: 0.7500 0.7500 0.0000
Ni: 0.0000 0.0000 0.5000
Ni: 0.5000 0.5000 0.5000
Ir: 0.0000 0.5000 0.5000
Ir: 0.5000 0.0000 0.5000

Summary:
For the energy relative to the elements, the calculation gives -776.8 meV per atom.



(3)
## Sc2S3O12 (GGA-PBEsol)

Data for a relaxed Sc2S3O12 crystal.

Cell: 9.0929 9.0929 9.0929 Å, 57.72 57.72 57.72°
Sites, in units of the cell vectors:
Sc: 0.1440 0.1440 0.1440
Sc: 0.3560 0.3560 0.3560
Sc: 0.6440 0.6440 0.6440
Sc: 0.8560 0.8560 0.8560
S: 0.0359 0.7500 0.4641
S: 0.2500 0.5359 0.9641
S: 0.4641 0.0359 0.7500
S: 0.5359 0.9641 0.2500
S: 0.7500 0.4641 0.0359
S: 0.9641 0.2500 0.5359
O: 0.0082 0.7723 0.6273
O: 0.0636 0.9148 0.2978
O: 0.0852 0.7022 0.9364
O: 0.1273 0.2723 0.5082
O: 0.2022 0.5852 0.4364
O: 0.2277 0.3727 0.9918
O: 0.2723 0.5082 0.1273
O: 0.2978 0.0636 0.9148
O: 0.3727 0.9918 0.2277
O: 0.4148 0.5636 0.7978
O: 0.4364 0.2022 0.5852
O: 0.4918 0.8727 0.7277
O: 0.5082 0.1273 0.2723
O: 0.5636 0.7978 0.4148
O: 0.5852 0.4364 0.2022
O: 0.6273 0.0082 0.7723
O: 0.7022 0.9364 0.0852
O: 0.7277 0.4918 0.8727
O: 0.7723 0.6273 0.0082
O: 0.7978 0.4148 0.5636
O: 0.8727 0.7277 0.4918
O: 0.9148 0.2978 0.0636
O: 0.9364 0.0852 0.7022
O: 0.9918 0.2277 0.3727

Summary:
The calculation puts the raw formation energy at -2.13 eV per atom.



(4)
## MgRuSe (GGA-PBEsol)

Data for a relaxed MgRuSe crystal.

Cell: 5.9307 5.9307 5.9307 Å, 90.00 90.00 90.00°
Sites, in units of the cell vectors:
Mg: 0.0000 0.0000 0.0000
Mg: 0.0000 0.5000 0.5000
Mg: 0.5000 0.0000 0.5000
Mg: 0.5000 0.5000 0.0000
Ru: 0.0000 0.0000 0.5000
Ru: 0.0000 0.5000 0.0000
Ru: 0.5000 0.0000 0.0000
Ru: 0.5000 0.5000 0.5000
Se: 0.2500 0.2500 0.2500
Se: 0.2500 0.7500 0.7500
Se: 0.7500 0.2500 0.7500
Se: 0.7500 0.7500 0.2500

Summary:
The calculation puts the raw formation energy at 0.15 eV per atom. For the offset from the most stable computed form, the calculation gives 0.301 eV per atom.



(5)
## CrNiTeN2 (GGA-PBEsol)

Data for a relaxed CrNiTeN2 crystal.

Cell: 3.7498 3.7498 5.1510 Å, 90.00 90.00 90.00°
Sites, in units of the cell vectors:
Cr: 0.0000 0.0000 0.0000
Ni: 0.5000 0.5000 0.5000
Te: 0.5000 0.5000 0.0000
N: 0.0000 0.5000 0.5000
N: 0.5000 0.0000 0.5000

Summary:
The calculation puts the raw formation energy at 1.21 eV per atom.



(6)
## SrScPt2 (GGA-PBEsol)

Data for a relaxed SrScPt2 crystal.

Cell: 4.4885 4.4885 15.7320 Å, 90.00 90.00 120.00°
Sites, in units of the cell vectors:
Sr: 0.0000 0.0000 0.0000
Sr: 0.3333 0.6667 0.6667
Sr: 0.6667 0.3333 0.3333
Sc: 0.0000 0.0000 0.5000
Sc: 0.3333 0.6667 0.1667
Sc: 0.6667 0.3333 0.8333
Pt: 0.0000 0.0000 0.2095
Pt: 0.0000 0.0000 0.7905
Pt: 0.3333 0.6667 0.4571
Pt: 0.3333 0.6667 0.8762
Pt: 0.6667 0.3333 0.1238
Pt: 0.6667 0.3333 0.5429

Summary:
For the offset from the most stable computed form, the calculation gives 0.081 eV per atom. For the energy relative to the elements, the calculation gives -859.1 meV per atom.